Entry 1:
Material: PuH2Rh
Method: DFT, PBE
State: optimized geometry

The density of states at the Fermi level comes out at 2.435 states/eV/atom. The calculated total energy is -29.88 eV per formula unit. The crystal system is trigonal. For the total magnetic moment, the calculation gives 15.709 μB per cell.

The space group is P3_121 (No. 152) and the conventional cell measures 5.0903, 5.0903 and 6.2268 Å, with angles of 90.00, 90.00 and 120.00 degrees. The distinct sites, in fractional coordinates, are Pu at (0.0000, 0.6563, 0.1667), H at (0.1514, 0.4937, 0.8317) and Rh at (0.0000, 0.7094, 0.6667).



Entry 2:
Material: Tl2CoPb2
Method: DFT, PBE
State: optimized geometry

The density of states at the Fermi level comes out at 0.953 states/eV/atom. The calculated total energy is -17.50 eV per formula unit. The crystal system is tetragonal. For the total magnetic moment, the calculation gives 1.865 μB per cell. As for the energy of formation: 351 meV per atom.

The space group is P4/mbm (No. 127) and the conventional cell measures 6.987, 6.987 and 5.710 Å, with angles of 90.00, 90.00 and 90.00 degrees. The distinct sites, in fractional coordinates, are Tl at (0.170, 0.330, 0.000), Co at (0.000, 0.000, 0.500) and Pb at (0.169, 0.669, 0.500).



Entry 3:
Material: GaTe2As
Method: DFT, PBE
State: optimized geometry

The density of states at the Fermi level comes out at 0.379 states/eV/atom. The calculated total energy is -13.57 eV per formula unit. The crystal system is tetragonal. For the total magnetic moment, the calculation gives 0.000 μB per cell. The formation energy without anion corrections comes out at 0.098 eV per atom.

The space group is I-42d (No. 122) and the conventional cell measures 7.494, 7.494 and 8.515 Å, with angles of 90.00, 90.00 and 90.00 degrees. The distinct sites, in fractional coordinates, are Ga at (0.000, 0.000, 0.000), Te at (0.248, 0.250, 0.625) and As at (0.000, 0.000, 0.500).



- What is the calculated total energy in the second record?
  -17.50 eV per formula unit



Copy entry 2 word for word.
Material: Tl2CoPb2
Method: DFT, PBE
State: optimized geometry

The density of states at the Fermi level comes out at 0.953 states/eV/atom. The calculated total energy is -17.50 eV per formula unit. The crystal system is tetragonal. For the total magnetic moment, the calculation gives 1.865 μB per cell. As for the energy of formation: 351 meV per atom.

The space group is P4/mbm (No. 127) and the conventional cell measures 6.987, 6.987 and 5.710 Å, with angles of 90.00, 90.00 and 90.00 degrees. The distinct sites, in fractional coordinates, are Tl at (0.170, 0.330, 0.000), Co at (0.000, 0.000, 0.500) and Pb at (0.169, 0.669, 0.500).